(1)
{"formula": "Sc3GaHg", "functional": "GGA-PBE", "state": "relaxed", "relative_energy_mev_per_atom": 439.9, "total_magnetization_mub_per_cell": 1.31, "rho_g_cm3": 5.14, "space_group": "No. 221", "dos_ef_per_ev_cell": 8.2, "ef_kcal_per_mol_atoms": 1.1, "lattice": [[5.076, 0.000, 0.000], [0.000, 5.076, 0.000], [0.000, 0.000, 5.076]], "species": ["Sc", "Sc", "Sc", "Ga", "Hg"], "fractional_positions": [[0.000, 0.000, 0.500], [0.000, 0.500, 0.000], [0.500, 0.000, 0.000], [0.000, 0.000, 0.000], [0.500, 0.500, 0.500]]}

=====

(2)
{"formula": "Pu5Ga2Tc2", "functional": "GGA-PBE", "state": "relaxed", "total_magnetization_mub_per_cell": 7.24, "rho_g_cm3": 15.82, "space_group": "No. 64", "dos_ef_per_ev_cell": 31.8, "ef_kcal_per_mol_atoms": 1.9, "lattice": [[7.180, -2.282, 0.000], [7.180, 2.282, 0.000], [0.000, 0.000, 9.961]], "species": ["Pu", "Pu", "Pu", "Pu", "Pu", "Pu", "Pu", "Pu", "Pu", "Pu", "Ga", "Ga", "Ga", "Ga", "Tc", "Tc", "Tc", "Tc"], "fractional_positions": [[0.000, 0.000, 0.000], [0.146, 0.195, 0.207], [0.195, 0.146, 0.793], [0.305, 0.354, 0.293], [0.354, 0.305, 0.707], [0.500, 0.500, 0.500], [0.646, 0.695, 0.293], [0.695, 0.646, 0.707], [0.805, 0.854, 0.207], [0.854, 0.805, 0.793], [0.164, 0.164, 0.500], [0.336, 0.336, 0.000], [0.664, 0.664, 0.000], [0.836, 0.836, 0.500], [0.078, 0.922, 0.355], [0.422, 0.578, 0.855], [0.578, 0.422, 0.145], [0.922, 0.078, 0.645]]}

=====

(3)
{"formula": "La2Ag3Sn4Hg", "functional": "GGA-PBE", "state": "relaxed", "total_magnetization_mub_per_cell": 0.00, "rho_g_cm3": 8.30, "space_group": "No. 115", "dos_ef_per_ev_cell": 2.2, "ef_kcal_per_mol_atoms": -9.1, "lattice": [[4.621, 0.000, 0.000], [0.000, 4.621, 0.000], [0.000, 0.000, 11.962]], "species": ["La", "La", "Ag", "Ag", "Ag", "Sn", "Sn", "Sn", "Sn", "Hg"], "fractional_positions": [[0.000, 0.500, 0.245], [0.500, 0.000, 0.755], [0.000, 0.000, 0.000], [0.000, 0.500, 0.637], [0.500, 0.000, 0.363], [0.000, 0.000, 0.500], [0.000, 0.500, 0.859], [0.500, 0.000, 0.141], [0.500, 0.500, 0.500], [0.500, 0.500, 0.000]]}

=====

(4)
{"formula": "In2FeMo", "functional": "GGA-PBE", "state": "relaxed", "relative_energy_mev_per_atom": 227.1, "total_magnetization_mub_per_cell": 2.79, "rho_g_cm3": 8.82, "space_group": "No. 12", "dos_ef_per_ev_cell": 2.8, "ef_kcal_per_mol_atoms": 10.8, "lattice": [[4.710, -1.456, 0.000], [4.710, 1.456, 0.000], [-1.025, 0.000, 5.237]], "species": ["In", "In", "Fe", "Mo"], "fractional_positions": [[0.245, 0.245, 0.246], [0.755, 0.755, 0.754], [0.500, 0.500, 0.000], [0.000, 0.000, 0.500]]}

=====

(5)
{"formula": "MoRuRh2", "functional": "GGA-PBE", "state": "relaxed", "relative_energy_mev_per_atom": 188.8, "total_magnetization_mub_per_cell": 0.00, "rho_g_cm3": 11.55, "space_group": "No. 123", "dos_ef_per_ev_cell": 6.3, "ef_kcal_per_mol_atoms": -0.4, "lattice": [[2.719, 0.000, 0.000], [0.000, 2.719, 0.000], [0.000, 0.000, 7.831]], "species": ["Mo", "Ru", "Rh", "Rh"], "fractional_positions": [[0.000, 0.000, 0.000], [0.000, 0.000, 0.500], [0.500, 0.500, 0.254], [0.500, 0.500, 0.746]]}

=====

(6)
{"formula": "Ca2YIr", "functional": "GGA-PBE", "state": "relaxed", "relative_energy_mev_per_atom": 442.7, "total_magnetization_mub_per_cell": 0.00, "rho_g_cm3": 6.09, "space_group": "No. 225", "dos_ef_per_ev_cell": 3.9, "ef_kcal_per_mol_atoms": 2.9, "lattice": [[0.000, 3.666, 3.666], [3.666, 0.000, 3.666], [3.666, 3.666, 0.000]], "species": ["Ca", "Ca", "Y", "Ir"], "fractional_positions": [[0.250, 0.250, 0.250], [0.750, 0.750, 0.750], [0.000, 0.000, 0.000], [0.500, 0.500, 0.500]]}

=====

(7)
{"formula": "Sm9CdIn2", "functional": "GGA-PBE", "state": "relaxed", "total_magnetization_mub_per_cell": 1.90, "rho_g_cm3": 7.81, "space_group": "No. 123", "dos_ef_per_ev_cell": 18.1, "ef_kcal_per_mol_atoms": -4.9, "lattice": [[4.939, 0.000, 0.000], [0.000, 4.939, 0.000], [0.000, 0.000, 14.772]], "species": ["Sm", "Sm", "Sm", "Sm", "Sm", "Sm", "Sm", "Sm", "Sm", "Cd", "In", "In"], "fractional_positions": [[0.000, 0.000, 0.000], [0.000, 0.000, 0.331], [0.000, 0.000, 0.669], [0.000, 0.500, 0.167], [0.000, 0.500, 0.500], [0.000, 0.500, 0.833], [0.500, 0.000, 0.167], [0.500, 0.000, 0.500], [0.500, 0.000, 0.833], [0.500, 0.500, 0.000], [0.500, 0.500, 0.334], [0.500, 0.500, 0.666]]}

=====

(8)
{"formula": "Ac2TcSb", "functional": "GGA-PBE", "state": "relaxed", "relative_energy_mev_per_atom": 715.1, "total_magnetization_mub_per_cell": 0.00, "rho_g_cm3": 8.93, "space_group": "No. 166", "dos_ef_per_ev_cell": 4.5, "formation_energy_uncorrected_ev_per_atom": 0.64, "lattice": [[1.832, 1.058, 10.780], [-1.832, 1.058, 10.780], [0.000, -2.115, 10.780]], "species": ["Ac", "Ac", "Tc", "Sb"], "fractional_positions": [[0.082, 0.082, 0.082], [0.918, 0.918, 0.918], [0.000, 0.000, 0.000], [0.500, 0.500, 0.500]]}

=====

(9)
{"formula": "PdCl2F", "functional": "GGA-PBE", "state": "relaxed", "relative_energy_mev_per_atom": 481.8, "total_magnetization_mub_per_cell": 1.00, "rho_g_cm3": 3.86, "space_group": "No. 166", "dos_ef_per_ev_cell": 0.1, "formation_energy_uncorrected_ev_per_atom": -0.21, "lattice": [[1.835, 1.059, 7.237], [-1.835, 1.059, 7.237], [0.000, -2.119, 7.237]], "species": ["Pd", "Cl", "Cl", "F"], "fractional_positions": [[0.000, 0.000, 0.000], [0.397, 0.397, 0.397], [0.603, 0.603, 0.603], [0.500, 0.500, 0.500]]}

=====

(10)
{"formula": "Be2SeBr", "functional": "GGA-PBE", "state": "relaxed", "relative_energy_mev_per_atom": 437.6, "total_magnetization_mub_per_cell": 0.00, "rho_g_cm3": 3.61, "space_group": "No. 65", "dos_ef_per_ev_cell": 0.9, "formation_energy_uncorrected_ev_per_atom": 0.14, "lattice": [[1.670, -3.635, 0.000], [1.670, 3.635, 0.000], [0.000, 0.000, 6.699]], "species": ["Be", "Be", "Se", "Br"], "fractional_positions": [[0.000, 0.000, 0.223], [0.000, 0.000, 0.777], [0.500, 0.500, 0.000], [0.500, 0.500, 0.500]]}

=====

(11)
{"formula": "Rb3In2Hg3", "functional": "GGA-PBE", "state": "relaxed", "total_magnetization_mub_per_cell": 0.00, "rho_g_cm3": 5.70, "space_group": "No. 63", "dos_ef_per_ev_cell": 8.6, "ef_kcal_per_mol_atoms": -3.5, "lattice": [[2.349, -7.091, 0.000], [2.349, 7.091, 0.000], [0.000, 0.000, 19.046]], "species": ["Rb", "Rb", "Rb", "Rb", "Rb", "Rb", "In", "In", "In", "In", "Hg", "Hg", "Hg", "Hg", "Hg", "Hg"], "fractional_positions": [[0.037, 0.963, 0.750], [0.131, 0.869, 0.545], [0.131, 0.869, 0.955], [0.869, 0.131, 0.045], [0.869, 0.131, 0.455], [0.963, 0.037, 0.250], [0.209, 0.791, 0.157], [0.209, 0.791, 0.343], [0.791, 0.209, 0.657], [0.791, 0.209, 0.843], [0.287, 0.713, 0.750], [0.429, 0.571, 0.604], [0.429, 0.571, 0.896], [0.571, 0.429, 0.104], [0.571, 0.429, 0.396], [0.713, 0.287, 0.250]]}

=====

(12)
{"formula": "MnW", "functional": "GGA-PBE", "state": "relaxed", "total_magnetization_mub_per_cell": 0.00, "rho_g_cm3": 13.72, "space_group": "No. 186", "dos_ef_per_ev_cell": 5.0, "ef_kcal_per_mol_atoms": 18.4, "lattice": [[2.739, 0.000, 0.000], [-1.370, 2.372, 0.000], [0.000, 0.000, 8.898]], "species": ["Mn", "Mn", "W", "W"], "fractional_positions": [[0.333, 0.667, 0.000], [0.667, 0.333, 0.500], [0.333, 0.667, 0.268], [0.667, 0.333, 0.768]]}